#one
Na3In3Ga2: relaxed, PBE-GGA.

a = 4.7051 Å, b = 6.2071 Å, c = 15.5685 Å
α = 90.00°, β = 90.00°, γ = 112.27°
Closest atoms and distances in Å follow each position.
Positions (direct):
In: 0.6401 0.2802 0.7500  2 Ga 2.79
Na: 0.3572 0.7143 0.7500  5 In 3.25-3.43, 4 Ga 3.33
Na: 0.6428 0.2857 0.2500  5 In 3.25-3.43, 4 Ga 3.33
Na: 0.9276 0.8552 0.3881  3 Ga 3.28-3.41, 6 In 3.28-3.46
In: 0.6236 0.2472 0.0363  3 Ga 2.79-2.92, 1 In 3.06
Na: 0.0724 0.1448 0.8881  3 Ga 3.28-3.41, 6 In 3.28-3.46
In: 0.6236 0.2472 0.4637  3 Ga 2.79-2.92, 1 In 3.06
Ga: 0.7873 0.5747 0.6072  4 In 2.79-2.92
Na: 0.0724 0.1448 0.6119  3 Ga 3.28-3.41, 6 In 3.28-3.46
Ga: 0.2127 0.4253 0.1072  4 In 2.79-2.92
Ga: 0.7873 0.5747 0.8928  4 In 2.79-2.92
In: 0.3764 0.7528 0.5363  3 Ga 2.79-2.92, 1 In 3.06
In: 0.3764 0.7528 0.9637  3 Ga 2.79-2.92, 1 In 3.06
In: 0.3599 0.7198 0.2500  2 Ga 2.79
Ga: 0.2127 0.4253 0.3928  4 In 2.79-2.92
Na: 0.9276 0.8552 0.1119  3 Ga 3.28-3.41, 6 In 3.28-3.46

Summary:
Fermi-level density of states	3.07	states/eV/f.u.
symmetry	No. 63
volume	421	Å³/cell

#two
Na3In3Ga2: relaxed, PBE-GGA.

a = 4.9221 Å, b = 5.8936 Å, c = 15.6022 Å
α = 90.00°, β = 90.00°, γ = 114.68°
Closest atoms and distances in Å follow each position.
Positions (direct):
Na: 0.6563 0.3125 0.0339  3 Ga 3.22-3.25, 5 In 3.32-3.50, 3 Na 3.35-3.51
In: 0.9695 0.9390 0.0967  1 Ga 2.91, 2 In 3.03-3.09
Na: 0.6563 0.3125 0.4661  3 Ga 3.22-3.25, 5 In 3.32-3.50, 3 Na 3.35-3.51
Ga: 0.7735 0.5470 0.8421  1 Ga 2.87, 3 In 2.91-2.94
Na: 0.3437 0.6875 0.5339  3 Ga 3.22-3.25, 5 In 3.32-3.50, 3 Na 3.35-3.51
Na: 0.4960 0.9921 0.7500  7 In 3.13-3.45, 2 Ga 3.30
In: 0.2041 0.4082 0.7500  4 Ga 2.94, 2 In 3.03, 1 Na 3.13
In: 0.9695 0.9390 0.4033  1 Ga 2.91, 2 In 3.03-3.09
In: 0.0305 0.0610 0.9033  1 Ga 2.91, 2 In 3.03-3.09
Ga: 0.2265 0.4530 0.1579  1 Ga 2.87, 3 In 2.91-2.94
Ga: 0.7735 0.5470 0.6579  1 Ga 2.87, 3 In 2.91-2.94
Ga: 0.2265 0.4530 0.3421  1 Ga 2.87, 3 In 2.91-2.94
Na: 0.5040 0.0079 0.2500  7 In 3.13-3.45, 2 Ga 3.30
In: 0.0305 0.0610 0.5967  1 Ga 2.91, 2 In 3.03-3.09
In: 0.7959 0.5918 0.2500  4 Ga 2.94, 2 In 3.03, 1 Na 3.13
Na: 0.3437 0.6875 0.9661  3 Ga 3.22-3.25, 5 In 3.32-3.50, 3 Na 3.35-3.51

Summary:
Fermi-level density of states	2.71	states/eV/f.u.
symmetry	No. 63
volume	411	Å³/cell

Relative calculated energies, zero for the most stable structure, unit eV/atom: #one 0.000; #two 0.026.

#one
Na6In2Ga: relaxed, PBE-GGA.

a = 5.5370 Å, b = 5.5370 Å, c = 10.5728 Å
α = 74.82°, β = 74.82°, γ = 60.00°
Closest atoms and distances in Å follow each position.
Positions (direct):
Na: 0.3043 0.3043 0.0871  3 Ga 3.32, 8 Na 3.37-3.67, 3 In 3.65
In: 0.0873 0.0873 0.7380  1 Ga 2.64
Na: 0.4217 0.4217 0.7349  3 In 3.20, 4 Na 3.55-3.56
In: 0.9127 0.9127 0.2620  1 Ga 2.64
Na: 0.8071 0.8071 0.5787  1 In 3.19, 7 Na 3.37-3.57
Na: 0.5783 0.5783 0.2651  3 In 3.20, 4 Na 3.55-3.56
Na: 0.6957 0.6957 0.9129  3 Ga 3.32, 8 Na 3.37-3.67, 3 In 3.65
Ga: 0.0000 0.0000 0.0000  2 In 2.64
Na: 0.1929 0.1929 0.4213  1 In 3.19, 7 Na 3.37-3.57

Summary:
Fermi-level density of states	4.19	states/eV/f.u.
symmetry	No. 166
volume	268	Å³/cell

#two
Na6In2Ga: relaxed, PBE-GGA.

a = 4.2948 Å, b = 8.8555 Å, c = 8.8555 Å
α = 124.53°, β = 82.69°, γ = 82.69°
Closest atoms and distances in Å follow each position.
Positions (direct):
Na: 0.7960 0.1461 0.4841  4 Na 3.11-3.47, 2 In 3.24-3.46
In: 0.5000 0.8693 0.1307  2 Ga 2.97, 4 Na 3.24-3.25
Na: 0.3157 0.3183 0.3183  2 In 3.25, 2 Ga 3.27-3.36, 5 Na 3.35-3.47
Na: 0.2040 0.8539 0.5159  4 Na 3.11-3.47, 2 In 3.24-3.46
Na: 0.7960 0.4841 0.1461  4 Na 3.11-3.47, 2 In 3.24-3.46
Na: 0.6843 0.6817 0.6817  2 In 3.25, 2 Ga 3.27-3.36, 5 Na 3.35-3.47
In: 0.5000 0.1307 0.8693  2 Ga 2.97, 4 Na 3.24-3.25
Ga: 0.0000 0.0000 0.0000  4 In 2.97, 2 Na 3.27
Na: 0.2040 0.5159 0.8539  4 Na 3.11-3.47, 2 In 3.24-3.46

Summary:
Fermi-level density of states	3.28	states/eV/f.u.
symmetry	No. 12
volume	267	Å³/cell

Relative calculated energies, zero for the most stable structure, unit eV/atom: #one 0.000; #two 0.043.

#one
Nd4InGa: relaxed, PBE-GGA.

a = 5.1923 Å, b = 5.1936 Å, c = 7.4863 Å
α = 89.96°, β = 89.98°, γ = 90.00°
Closest atoms and distances in Å follow each position.
Positions (direct):
Nd: 0.0011 0.4972 0.2618  2 Ga 3.14, 2 In 3.26
Nd: 0.5013 0.9976 0.7346  2 Ga 3.14, 2 In 3.26
Ga: 0.0013 0.9974 0.4980  8 Nd 3.14
In: 0.5013 0.4972 0.9982  8 Nd 3.26
Nd: 0.0015 0.4974 0.7345  2 Ga 3.14, 2 In 3.26
Nd: 0.5012 0.9969 0.2617  2 Ga 3.14, 2 In 3.26

Summary:
Fermi-level density of states	9.51	states/eV/f.u.
symmetry	No. 123
volume	202	Å³/cell

#two
Nd4InGa: relaxed, PBE-GGA.

a = 3.8863 Å, b = 8.5374 Å, c = 5.8310 Å
α = 89.92°, β = 90.00°, γ = 90.00°
Closest atoms and distances in Å follow each position.
Positions (direct):
Nd: 0.5000 0.7245 0.9994  2 Ga 3.05
Nd: 0.5000 0.2755 0.0006  2 Ga 3.05
Nd: 0.0000 0.7984 0.4993  2 In 3.20, 2 Ga 3.38-3.39, 5 Nd 3.44-3.56
Ga: 0.0000 0.0000 0.0000  8 Nd 3.05-3.39
Nd: 0.0000 0.2016 0.5007  2 In 3.20, 2 Ga 3.38-3.39, 5 Nd 3.44-3.56
In: 0.5000 0.5000 0.5000  8 Nd 3.20-3.49

Summary:
Fermi-level density of states	6.80	states/eV/f.u.
symmetry	No. 10
volume	193	Å³/cell

Relative calculated energies, zero for the most stable structure, unit eV/atom: #one 0.000; #two 0.043.

#one
Nd2InGa: relaxed, PBE-GGA.

a = 3.7642 Å, b = 3.7642 Å, c = 7.6880 Å
α = 90.00°, β = 90.00°, γ = 90.00°
Closest atoms and distances in Å follow each position.
Positions (direct):
Nd: 0.0000 0.0000 0.2363  4 Ga 3.22, 4 In 3.35
In: 0.5000 0.5000 0.5000  8 Nd 3.35
Ga: 0.5000 0.5000 0.0000  8 Nd 3.22
Nd: 0.0000 0.0000 0.7637  4 Ga 3.22, 4 In 3.35

Summary:
Fermi-level density of states	2.36	states/eV/f.u.
symmetry	No. 123
volume	109	Å³/cell

#two
Nd2InGa: relaxed, PBE-GGA.

a = 5.3639 Å, b = 5.3639 Å, c = 5.3639 Å
α = 60.00°, β = 60.00°, γ = 60.00°
Closest atoms and distances in Å follow each position.
Positions (direct):
In: 0.0000 0.0000 0.0000  8 Nd 3.28
Ga: 0.5000 0.5000 0.5000  8 Nd 3.28
Nd: 0.7500 0.7500 0.7500  4 Ga 3.28, 4 In 3.28
Nd: 0.2500 0.2500 0.2500  4 In 3.28, 4 Ga 3.28

Summary:
Fermi-level density of states	1.54	states/eV/f.u.
symmetry	No. 225
volume	109	Å³/cell

Relative calculated energies, zero for the most stable structure, unit eV/atom: #one 0.000; #two 0.019.